No. 1
Crystalline UTlFeSe3 at its relaxed geometry. Source: the Alexandria database, functional GGA-PBE.

abc: 3.977 9.298 9.532
angles: 109.21 90.00 90.00
Site moments in Bohr magnetons follow the coordinates.
Atoms (fractional coordinates):
Se  0.750  0.212  0.529  0.04
Se  0.250  0.788  0.471  0.04
Se  0.250  0.113  0.856  -0.03
Se  0.750  0.454  0.159  -0.07
Se  0.750  0.887  0.144  -0.03
Se  0.250  0.546  0.841  -0.07
Fe  0.250  0.060  0.583  2.80
Fe  0.750  0.940  0.417  2.80
U  0.750  0.325  0.842  2.24
U  0.250  0.675  0.158  2.24
Tl  0.750  0.803  0.760  0.00
Tl  0.250  0.197  0.240  0.00

Total DFT energy (no corrections) = -6.112 eV per atom
Space-group type = P2_1/m (11)
Density of states at the Fermi level = 6.1 states/eV/f.u.
Spin magnetization = 10.59 μB per cell


No. 2
Crystalline Tl2VFe2Se4 at its relaxed geometry. Source: the Alexandria database, functional GGA-PBE.

abc: 3.738 8.110 7.253
angles: 106.68 104.93 90.00
Site moments in Bohr magnetons follow the coordinates.
Atoms (fractional coordinates):
Tl  0.134  0.574  0.269  0.01
Tl  0.866  0.426  0.731  0.01
Se  0.482  0.214  0.965  0.10
Se  0.189  0.182  0.379  0.11
Se  0.518  0.786  0.035  0.10
Se  0.811  0.818  0.621  0.11
Fe  0.316  0.017  0.633  2.88
Fe  0.684  0.983  0.367  2.88
V  0.000  0.000  0.000  -1.84

Total DFT energy (no corrections) = -5.350 eV per atom
Space-group type = C2/m (12)
Density of states at the Fermi level = 8.0 states/eV/f.u.
Spin magnetization = 4.55 μB per cell


No. 3
Crystalline Zr2TlFeSe at its relaxed geometry. Source: the Alexandria database, functional GGA-PBE.

abc: 5.072 4.358 5.072
angles: 90.00 90.00 90.00
Site moments in Bohr magnetons follow the coordinates.
Atoms (fractional coordinates):
Fe  0.000  0.500  0.000  2.20
Zr  0.000  0.000  0.500  -0.05
Zr  0.500  0.000  0.000  -0.05
Se  0.000  0.000  0.000  0.01
Tl  0.500  0.500  0.500  0.02

E above lowest polymorph = 0 kJ/mol of formula units
Space-group type = P4/mmm (123)
Density of states at the Fermi level = 6.0 states/eV/f.u.
Spin magnetization = 2.08 μB per cell